Cd4AgPd5: relaxed, PBE.

The structure belongs to space group P4/mmm (No. 123); the cell edges are 3.342, 3.342 and 15.508 Å and the angles 90.00°, 90.00° and 90.00°. The asymmetric unit holds Cd at (0.000, 0.000, 0.101), Cd at (0.000, 0.000, 0.304), Ag at (0.000, 0.000, 0.500), Pd at (0.500, 0.500, 0.000), Pd at (0.500, 0.500, 0.202) and Pd at (0.500, 0.500, 0.401).

The total magnetization is 0.00 μB per formula unit. Its formation energy from the elements is -337 meV/atom.